# ZrSbMo2, relaxed, DFT PBEsol
# **Formation energy without anion corrections**: 0.03 eV/atom
# **Electronic total energy**: -9.267 eV/atom
data_ZrSbMo2
_chemical_formula_sum 'Zr1 Sb1 Mo2'
_cell_length_a 3.4506
_cell_length_b 3.4506
_cell_length_c 6.0637
_cell_angle_alpha 90.00
_cell_angle_beta 90.00
_cell_angle_gamma 90.00
_symmetry_space_group_name_H-M 'P 4 m m'
_symmetry_Int_Tables_number 99
_symmetry_space_group_name_Hall 'P 4 -2'
loop_
_atom_site_label
_atom_site_type_symbol
_atom_site_fract_x
_atom_site_fract_y
_atom_site_fract_z
Zr1 Zr 0.0000 0.0000 0.0000
Sb1 Sb 0.5000 0.5000 0.7228
Mo1 Mo 0.0000 0.0000 0.4744
Mo2 Mo 0.5000 0.5000 0.2458